# AcCo6Ge12 PBE-GGA optimized geometry
# Total moment (Bohr magnetons per cell): 0.00
# E_form (eV/atom): -0.124
data_AcCo6Ge12
_chemical_formula_sum 'Ac3 Co18 Ge36'
_cell_length_a 11.1620
_cell_length_b 11.1620
_cell_length_c 8.4241
_cell_angle_alpha 90.00
_cell_angle_beta 90.00
_cell_angle_gamma 120.00
_symmetry_space_group_name_H-M 'R -3 m'
_symmetry_Int_Tables_number 166
_symmetry_space_group_name_Hall '-R 3 2"'
loop_
_atom_site_label
_atom_site_type_symbol
_atom_site_fract_x
_atom_site_fract_y
_atom_site_fract_z
_atom_site_occupancy
Ac1 Ac 0.0000 0.0000 0.0000 1
Co1 Co 0.0506 0.5253 0.2427 1
Ge1 Ge 0.0000 0.3823 0.5000 1
Ge2 Ge 0.0870 0.1740 0.3244 1